Compound: TaRuO2
Source: the Alexandria database
Functional: PBE-GGA
Structure: optimized geometry

Values from the calculation:
* theoretical density: 11.1 g/cm3
* polymorph energy (0 for the lowest one): 0.000 eV/f.u.
* DFT total energy: -36.099 eV for the cell shown

The structure in POSCAR format:
```
TaRuO2
1.0
1.6215 0.0000 6.8565
-0.8107 1.4042 6.8565
-0.8107 -1.4042 6.8565
Ru O Ta
1 2 1
Direct
0.0000 0.0000 0.0000 Ru
0.9008 0.9008 0.9008 O
0.0992 0.0992 0.0992 O
0.5000 0.5000 0.5000 Ta
```

***

Compound: Ca3ScOs
Source: the Alexandria database
Functional: PBE-GGA
Structure: optimized geometry

Values from the calculation:
* E_form: 0.59 eV per atom
* theoretical density: 3.6 g/cm3
* polymorph energy (0 for the lowest one): 0.000 eV/f.u.
* DFT total energy: -20.635 eV for the cell shown

The structure in POSCAR format:
```
Ca3ScOs
1.0
5.4859 0.0000 0.0000
0.0000 5.4859 0.0000
0.0000 0.0000 5.4859
Sc Ca Os
1 3 1
Direct
0.5000 0.5000 0.5000 Sc
0.0000 0.5000 0.0000 Ca
0.0000 0.0000 0.5000 Ca
0.5000 0.0000 0.0000 Ca
0.0000 0.0000 0.0000 Os
```

***

Compound: Sr2Be3ZnSi4
Source: the Alexandria database
Functional: PBE-GGA
Structure: optimized geometry

Values from the calculation:
* theoretical density: 3.7 g/cm3
* DFT total energy: -39.542 eV for the cell shown

The structure in POSCAR format:
```
Sr2Be3ZnSi4
1.0
-0.4650 2.1179 -3.4722
-3.5510 -1.9152 -0.6926
-4.8938 7.2398 5.0714
Sr Be Zn Si
2 3 1 4
Direct
0.5000 0.0000 0.2469 Sr
0.0000 0.5000 0.7531 Sr
0.0000 0.0000 0.5000 Be
0.5000 0.0000 0.8730 Be
0.0000 0.5000 0.1270 Be
0.5000 0.5000 0.5000 Zn
0.5000 0.5000 0.0000 Si
0.0000 0.0000 0.0000 Si
0.5000 0.0000 0.6375 Si
0.0000 0.5000 0.3625 Si
```

***

Compound: Sm4Dy4Er
Source: the Alexandria database
Functional: PBE-GGA
Structure: optimized geometry

Values from the calculation:
* E_form: 0.02 eV per atom
* theoretical density: 8.1 g/cm3
* polymorph energy (0 for the lowest one): 0.000 eV/f.u.
* DFT total energy: -41.694 eV for the cell shown

The structure in POSCAR format:
```
Sm4Dy4Er
1.0
-2.1696 -4.1768 1.8211
0.7983 -5.8261 -5.4186
5.5022 -4.1298 4.0759
Sm Dy Er
4 4 1
Direct
0.6665 0.6671 0.9999 Sm
0.3335 0.3329 0.0001 Sm
0.6664 0.0001 0.6671 Sm
0.3336 0.9999 0.3329 Sm
0.6661 0.3340 0.3339 Dy
0.3339 0.6660 0.6661 Dy
0.0000 0.6661 0.3340 Dy
0.0000 0.3339 0.6660 Dy
0.0000 0.0000 0.0000 Er
```

***

Compound: Ca3ReCl
Source: the Alexandria database
Functional: PBE-GGA
Structure: optimized geometry

Values from the calculation:
* theoretical density: 3.4 g/cm3
* polymorph energy (0 for the lowest one): 0.000 eV/f.u.
* DFT total energy: -18.833 eV for the cell shown

The structure in POSCAR format:
```
Ca3ReCl
1.0
5.4926 0.0000 0.0000
0.0000 5.4926 0.0000
0.0000 0.0000 5.4926
Re Ca Cl
1 3 1
Direct
0.0000 0.0000 0.0000 Re
0.0000 0.5000 0.0000 Ca
0.0000 0.0000 0.5000 Ca
0.5000 0.0000 0.0000 Ca
0.5000 0.5000 0.5000 Cl
```

***

Compound: CdCuHg
Source: the Alexandria database
Functional: PBE-GGA
Structure: optimized geometry

Values from the calculation:
* E_form: 0.12 eV per atom
* theoretical density: 9.8 g/cm3
* polymorph energy (0 for the lowest one): 0.145 eV/f.u.
* DFT total energy: -4.947 eV for the cell shown

The structure in POSCAR format:
```
CdCuHg
1.0
4.4800 0.0000 0.0000
2.2400 3.8798 0.0000
2.2400 1.2933 3.6579
Cd Cu Hg
1 1 1
Direct
0.5000 0.5000 0.5000 Cd
0.7500 0.7500 0.7500 Cu
0.0000 0.0000 0.0000 Hg
```

***

Compound: Dy3TcBi
Source: the Alexandria database
Functional: PBE-GGA
Structure: optimized geometry

Values from the calculation:
* E_form: -0.32 eV per atom
* theoretical density: 9.3 g/cm3
* DFT total energy: -59.341 eV for the cell shown

The structure in POSCAR format:
```
Dy3TcBi
1.0
4.2045 0.0000 0.0000
-2.1022 7.7339 -1.3803
0.0000 -4.3879 9.5210
Dy Tc Bi
6 2 2
Direct
0.8283 0.6567 0.7182 Dy
0.1717 0.3433 0.2818 Dy
0.5750 0.1500 0.9414 Dy
0.4250 0.8500 0.0586 Dy
0.8790 0.7579 0.3023 Dy
0.1210 0.2421 0.6977 Dy
0.2278 0.4555 0.0302 Tc
0.7722 0.5445 0.9698 Tc
0.4096 0.8192 0.5717 Bi
0.5904 0.1808 0.4283 Bi
```

***

Compound: Mg2C
Source: the Alexandria database
Functional: PBE-GGA
Structure: optimized geometry

Values from the calculation:
* E_form: 0.40 eV per atom
* theoretical density: 2.6 g/cm3
* polymorph energy (0 for the lowest one): 0.461 eV/f.u.
* DFT total energy: -44.815 eV for the cell shown

The structure in POSCAR format:
```
Mg2C
1.0
3.6958 0.0000 0.0000
0.0000 6.0605 0.0000
0.0000 0.0000 6.9580
Mg C
8 4
Direct
0.2500 0.0155 0.8427 Mg
0.7500 0.4845 0.3427 Mg
0.2500 0.5155 0.6573 Mg
0.7500 0.9845 0.1573 Mg
0.2500 0.1416 0.4226 Mg
0.7500 0.3584 0.9226 Mg
0.2500 0.6416 0.0774 Mg
0.7500 0.8584 0.5774 Mg
0.2500 0.7528 0.3979 C
0.7500 0.7472 0.8979 C
0.2500 0.2528 0.1021 C
0.7500 0.2472 0.6021 C
```

***

Compound: Na8Tl6In
Source: the Alexandria database
Functional: PBE-GGA
Structure: optimized geometry

Values from the calculation:
* E_form: -0.07 eV per atom
* theoretical density: 5.2 g/cm3
* polymorph energy (0 for the lowest one): 0.000 eV/f.u.
* DFT total energy: -28.581 eV for the cell shown

The structure in POSCAR format:
```
Na8Tl6In
1.0
-3.7713 -2.5283 -8.0101
4.5361 -5.7041 -5.6271
-2.5634 -7.8997 -1.5915
Na Tl In
8 6 1
Direct
0.5451 0.2160 0.3546 Na
0.7840 0.1156 0.6454 Na
0.1156 0.4549 0.6454 Na
0.6659 0.6659 0.0024 Na
0.3341 0.3341 0.9976 Na
0.8844 0.5451 0.3546 Na
0.2160 0.8844 0.3546 Na
0.4549 0.7840 0.6454 Na
0.3706 0.0475 0.8598 Tl
0.9525 0.2779 0.1402 Tl
0.2779 0.6294 0.1402 Tl
0.7221 0.3706 0.8598 Tl
0.0475 0.7221 0.8598 Tl
0.6294 0.9525 0.1402 Tl
0.0000 0.0000 0.0000 In
```

***

Compound: KTlBi3
Source: the Alexandria database
Functional: PBE-GGA
Structure: optimized geometry

Values from the calculation:
* E_form: 0.36 eV per atom
* theoretical density: 6.8 g/cm3
* polymorph energy (0 for the lowest one): 0.000 eV/f.u.
* DFT total energy: -13.317 eV for the cell shown

The structure in POSCAR format:
```
KTlBi3
1.0
5.9821 0.0000 0.0000
0.0000 5.9821 0.0000
0.0000 0.0000 5.9821
K Tl Bi
1 1 3
Direct
0.5000 0.5000 0.5000 K
0.0000 0.0000 0.0000 Tl
0.0000 0.5000 0.0000 Bi
0.0000 0.0000 0.5000 Bi
0.5000 0.0000 0.0000 Bi
```

***

Compound: ScGaIN2
Source: the Alexandria database
Functional: PBE-GGA
Structure: optimized geometry

Values from the calculation:
* theoretical density: 3.2 g/cm3
* polymorph energy (0 for the lowest one): 0.674 eV/f.u.
* DFT total energy: -24.193 eV for the cell shown

The structure in POSCAR format:
```
ScGaIN2
1.0
-2.3252 -3.0137 -1.6859
-2.2255 -2.3610 7.2897
-3.2522 2.5945 -0.1526
I Sc Ga N
1 1 1 2
Direct
0.5000 0.5000 0.5000 I
0.0000 0.0000 0.0000 Sc
0.0000 0.5000 0.0000 Ga
0.0000 0.0000 0.5000 N
0.5000 0.0000 0.0000 N
```

***

Compound: TaSbOs3
Source: the Alexandria database
Functional: PBE-GGA
Structure: optimized geometry

Values from the calculation:
* theoretical density: 13.8 g/cm3
* polymorph energy (0 for the lowest one): 1.794 eV/f.u.
* DFT total energy: -37.762 eV for the cell shown

The structure in POSCAR format:
```
TaSbOs3
1.0
4.7135 0.0000 0.0000
0.0000 4.7135 0.0000
0.0000 0.0000 4.7135
Sb Os Ta
1 3 1
Direct
0.0000 0.0000 0.0000 Sb
0.0000 0.5000 0.0000 Os
0.0000 0.0000 0.5000 Os
0.5000 0.0000 0.0000 Os
0.5000 0.5000 0.5000 Ta
```